# 1
# HgIr2Rh | Alexandria via LeMat-Bulk | GGA-PBE | optimized geometry
# D(E_F) ... 7.78 states/eV/f.u.
# Mass density ... 17.8 g cm⁻³
# E ... -23.5 eV per cell
# Calculated formation energy ... 0.48 eV/atom
data_HgIr2Rh
_chemical_formula_sum 'Hg1 Ir2 Rh1'
_space_group_name_H-M_alt 'P m m m'
_space_group_IT_number 47
_cell_length_a 2.8267
_cell_length_b 4.7290
_cell_length_c 4.8044
_cell_angle_alpha 90.00
_cell_angle_beta 90.00
_cell_angle_gamma 90.00
loop_
_space_group_symop_operation_xyz
'x,y,z'
'-x,-y,-z'
'-x,-y,z'
'x,y,-z'
'x,-y,-z'
'-x,y,z'
'-x,y,-z'
'x,-y,z'
loop_
_atom_site_label
_atom_site_fract_x
_atom_site_fract_y
_atom_site_fract_z
Hg1 0.0000 0.0000 0.0000
Ir1 0.0000 0.5000 0.5000
Ir2 0.5000 0.0000 0.5000
Rh1 0.5000 0.5000 0.0000

# 2
# HgIrRh2 | Alexandria via LeMat-Bulk | GGA-PBE | optimized geometry
# D(E_F) ... 4.40 states/eV/f.u.
# Mass density ... 15.6 g cm⁻³
# E ... -23.1 eV per cell
# Calculated formation energy ... 0.19 eV/atom
data_HgIrRh2
_chemical_formula_sum 'Hg1 Ir1 Rh2'
_space_group_name_H-M_alt 'P m m m'
_space_group_IT_number 47
_cell_length_a 2.8153
_cell_length_b 3.7977
_cell_length_c 5.9549
_cell_angle_alpha 90.00
_cell_angle_beta 90.00
_cell_angle_gamma 90.00
loop_
_space_group_symop_operation_xyz
'x,y,z'
'-x,-y,-z'
'-x,-y,z'
'x,y,-z'
'x,-y,-z'
'-x,y,z'
'-x,y,-z'
'x,-y,z'
loop_
_atom_site_label
_atom_site_fract_x
_atom_site_fract_y
_atom_site_fract_z
Hg1 0.0000 0.0000 0.0000
Ir1 0.0000 0.0000 0.5000
Rh1 0.5000 0.5000 0.2779

# 3
# HgIrRh | Alexandria via LeMat-Bulk | GGA-PBE | optimized geometry
# Energy above the most stable polymorph in this dataset ... 0.112 eV/atom
# D(E_F) ... 4.80 states/eV/f.u.
# Mass density ... 16.1 g cm⁻³
# E ... -30.8 eV per cell
# Calculated formation energy ... 0.38 eV/atom
data_HgIrRh
_chemical_formula_sum 'Hg2 Ir2 Rh2'
_space_group_name_H-M_alt 'I m m 2'
_space_group_IT_number 44
_cell_length_a 2.8088
_cell_length_b 3.6847
_cell_length_c 9.8679
_cell_angle_alpha 90.00
_cell_angle_beta 90.00
_cell_angle_gamma 90.00
loop_
_space_group_symop_operation_xyz
'x,y,z'
'-x,-y,z'
'-x,y,z'
'x,-y,z'
'x+1/2,y+1/2,z+1/2'
'-x+1/2,-y+1/2,z+1/2'
'-x+1/2,y+1/2,z+1/2'
'x+1/2,-y+1/2,z+1/2'
loop_
_atom_site_label
_atom_site_fract_x
_atom_site_fract_y
_atom_site_fract_z
Hg1 0.0000 0.0000 0.0000
Ir1 0.0000 0.0000 0.6897
Rh1 0.0000 0.0000 0.3114